Compound: Y2InPt9
Source: Alexandria via LeMat-Bulk
Functional: PBE-GGA
Structure: relaxed

Geometry as extended XYZ:
```
12
Lattice="4.1090 0.0000 0.0000 0.0000 4.1090 0.0000 0.0000 0.0000 12.2684" Properties=species:S:1:pos:R:3 pbc="T T T"
Y 0.0000 0.0000 2.0656
Y 0.0000 0.0000 10.2027
In 0.0000 0.0000 6.1342
Pt 0.0000 2.0545 0.0000
Pt 0.0000 2.0545 4.1479
Pt 0.0000 2.0545 8.1204
Pt 2.0545 0.0000 0.0000
Pt 2.0545 0.0000 4.1479
Pt 2.0545 0.0000 8.1204
Pt 2.0545 2.0545 2.0808
Pt 2.0545 2.0545 6.1342
Pt 2.0545 2.0545 10.1876
```

Results
E ... -0.487 Ry per atom
Space-group type ... P4/mmm
ΔH_f (0 K) ... -0.79 eV/atom